Here is Ac2CdH after structural relaxation from Alexandria. Energies are from GGA-PBE.

Structure (extended XYZ):
```
4
Lattice="-1.014 0.370 3.683 1.729 -2.123 2.689 7.207 6.608 3.321" Properties=species:S:1:pos:R:3 pbc="T T T"
H 3.961 2.428 4.846
Ac 4.818 4.142 2.911
Cd 0.000 0.000 0.000
Ac 3.104 0.713 6.782
```

## Properties
Fermi-level density of states, states/eV/atom: 0.81
Energy above the most stable polymorph in this dataset, eV/f.u.: 0.99
Total DFT energy (no corrections), eV/atom: -3.066

Here is Ac3CdHIr after structural relaxation from Alexandria. Energies are from GGA-PBE.

Structure (extended XYZ):
```
12
Lattice="-1.515 3.675 -1.773 -8.526 -1.966 3.208 3.998 5.124 7.203" Properties=species:S:1:pos:R:3 pbc="T T T"
Cd -0.944 1.831 1.930
Cd -5.098 5.002 6.708
Ac -1.729 4.123 7.350
Ac -4.314 2.710 1.288
Ac -0.660 5.109 3.139
Ir -5.458 0.411 2.843
H -7.371 3.057 4.619
Ir -0.585 6.422 5.795
H 1.328 3.776 4.019
Ac -8.067 1.739 2.482
Ac -5.383 1.724 5.499
Ac 2.025 5.094 6.156
```

## Properties
Fermi-level density of states, states/eV/atom: 0.66
Total DFT energy (no corrections), eV/atom: -4.718

Here is AcCdH8Ir2 after structural relaxation from Alexandria. Energies are from GGA-PBE.

Structure (extended XYZ):
```
12
Lattice="4.915 0.000 0.000 2.457 4.257 0.000 2.457 1.419 6.183" Properties=species:S:1:pos:R:3 pbc="T T T"
H 7.372 4.257 3.485
Ir 7.372 4.257 5.105
H 5.484 1.553 5.136
H 4.087 1.702 1.047
H 6.312 2.688 1.047
Cd 0.000 0.000 0.000
Ir 2.457 1.419 1.078
H 5.743 3.973 5.136
Ac 4.915 2.838 3.092
H 3.518 2.987 5.136
H 2.457 1.419 2.698
H 4.346 4.122 1.047
```

## Properties
Fermi-level density of states, states/eV/atom: 0.15
Total DFT energy (no corrections), eV/atom: -4.215

Here is AcMnCdH6 after structural relaxation from Alexandria. Energies are from GGA-PBE.

Structure (extended XYZ):
```
9
Lattice="4.805 0.000 0.001 2.402 4.161 0.001 -0.001 0.000 4.650" Properties=species:S:1:pos:R:3 pbc="T T T"
Cd 4.804 2.774 2.326
H 3.383 1.953 3.546
Mn 2.402 1.387 2.326
H 3.383 1.953 1.105
H 1.422 1.954 1.105
H 1.421 1.953 3.546
Ac 7.207 4.161 4.651
H 2.402 0.255 1.105
H 2.402 0.254 3.546
```

## Properties
Fermi-level density of states, states/eV/atom: 0.50
Total DFT energy (no corrections), eV/atom: -3.977

> Which value of Fermi-level density of states does entry 2 give?

0.66 states/eV/atom